Entry 1:
AlBiNF2: relaxed, PBE.

The value obtained for the density is 5.17 Mg/m³. The offset from the most stable computed form is 887.4 meV/atom. The calculation puts the raw total energy at -4.396 eV/atom. As for the crystal system: tetragonal. For the formation energy without anion corrections, the calculation gives -44.16 kJ per mole of atoms.

Cell: 4.662 4.662 4.253 Å, 90.00 90.00 90.00°
Space group P4/mmm (No. 123)
One atom of each set of equivalent atoms:
Al 0.000 0.000 0.000
Bi 0.500 0.500 0.500
N 0.500 0.500 0.000
F 0.000 0.500 0.500

---

Entry 2:
AlBiOF2: relaxed, PBE.

The value obtained for the density is 4.93 Mg/m³. The offset from the most stable computed form is 593.9 meV/atom. The calculation puts the raw total energy at -4.551 eV/atom. As for the crystal system: tetragonal. For the formation energy without anion corrections, the calculation gives -124.06 kJ per mole of atoms.

Cell: 4.651 4.651 4.517 Å, 90.00 90.00 90.00°
Space group P4/mmm (No. 123)
One atom of each set of equivalent atoms:
Al 0.000 0.000 0.000
Bi 0.500 0.500 0.500
O 0.500 0.500 0.000
F 0.000 0.500 0.500

---

Entry 3:
AlBiO2F: relaxed, PBE.

The value obtained for the density is 5.49 Mg/m³. The calculation puts the raw total energy at -4.744 eV/atom. As for the crystal system: tetragonal. For the formation energy without anion corrections, the calculation gives -83.19 kJ per mole of atoms.

Cell: 4.357 4.357 4.568 Å, 90.00 90.00 90.00°
Space group P4/mmm (No. 123)
One atom of each set of equivalent atoms:
Al 0.000 0.000 0.000
Bi 0.500 0.500 0.500
O 0.000 0.500 0.500
F 0.500 0.500 0.000

---

Entry 4:
AlBiOF2: relaxed, PBE.

The value obtained for the density is 6.99 Mg/m³. The offset from the most stable computed form is 0.0 meV/atom. The calculation puts the raw total energy at -5.144 eV/atom. As for the crystal system: tetragonal. For the formation energy without anion corrections, the calculation gives -181.35 kJ per mole of atoms.

Cell: 4.460 4.460 3.464 Å, 90.00 90.00 90.00°
Space group P4/mmm (No. 123)
One atom of each set of equivalent atoms:
Al 0.000 0.000 0.000
Bi 0.500 0.500 0.500
O 0.000 0.000 0.500
F 0.000 0.500 0.000

---

Entry 5:
AlBiO2F: relaxed, PBE.

The value obtained for the density is 8.10 Mg/m³. The calculation puts the raw total energy at -5.805 eV/atom. As for the crystal system: tetragonal. For the formation energy without anion corrections, the calculation gives -185.52 kJ per mole of atoms.

Cell: 3.867 3.867 3.936 Å, 90.00 90.00 90.00°
Space group P4/mmm (No. 123)
One atom of each set of equivalent atoms:
Al 0.000 0.000 0.000
Bi 0.500 0.500 0.500
O 0.000 0.500 0.000
F 0.000 0.000 0.500

---

Entry 6:
Al2FeBi: relaxed, PBE.

The value obtained for the density is 6.14 Mg/m³. The calculation puts the raw total energy at -4.593 eV/atom. As for the crystal system: tetragonal. The formation energy is 364 meV/atom.

Cell: 4.497 4.497 17.068 Å, 90.00 90.00 90.00°
Space group I-42d (No. 122)
One atom of each set of equivalent atoms:
Al 0.148 0.250 0.125
Fe 0.000 0.000 0.000
Bi 0.000 0.000 0.500

---

Q: Among the records above, which one has the highest density?
A: number 5